(1)
Below is a relaxed AcCeSe2 crystal, with properties calculated at the PBE level.

Results
Theoretical density in g/cm³: 8.3

Lattice parameters (Å, degrees): 3.747 3.747 7.514 90.00 90.00 90.00
Space group P4/mmm (No. 123)
One atom of each set of equivalent atoms:
1 Ac 0.000 0.000 0.000 (multiplicity 1)
2 Ce 0.000 0.000 0.500 (multiplicity 1)
3 Se 0.500 0.500 0.261 (multiplicity 2)



(2)
Below is a relaxed AcCeSe2 crystal, with properties calculated at the PBE level.

Results
Theoretical density in g/cm³: 7.5

Lattice parameters (Å, degrees): 4.3257 4.3257 21.4179 90.00 90.00 120.00
Space group R-3m (No. 166, hexagonal axes)
One atom of each set of equivalent atoms:
1 Ac 0.0000 0.0000 0.0000 (multiplicity 3)
2 Ce 0.0000 0.0000 0.5000 (multiplicity 3)
3 Se 0.0000 0.0000 0.2445 (multiplicity 6)



Most stable structure: (2)



(1)
Below is a relaxed AcCeSe2 crystal, with properties calculated at the PBE level.

Results
Theoretical density in g/cm³: 7.5

Lattice parameters (Å, degrees): 6.161 6.161 12.287 90.00 90.00 90.00
Space group I4_1/amd (No. 141, origin choice 2)
One atom of each set of equivalent atoms:
1 Ac 0.000 0.250 0.375 (multiplicity 4)
2 Ce 0.000 0.250 0.875 (multiplicity 4)
3 Se 0.000 0.250 0.119 (multiplicity 8)



(2)
Below is a relaxed AcCeSe2 crystal, with properties calculated at the PBE level.

Results
Theoretical density in g/cm³: 7.4

Lattice parameters (Å, degrees): 4.2148 4.2148 23.0156 90.00 90.00 120.00
Space group R3m (No. 160, hexagonal axes)
One atom of each set of equivalent atoms:
1 Ac 0.0000 0.0000 0.0000 (multiplicity 3)
2 Ce 0.0000 0.0000 0.1753 (multiplicity 3)
3 Se 0.0000 0.0000 0.5815 (multiplicity 3)
4 Se 0.0000 0.0000 0.7600 (multiplicity 3)



(3)
Below is a relaxed AcCeSe2 crystal, with properties calculated at the PBE level.

Results
Theoretical density in g/cm³: 8.2

Lattice parameters (Å, degrees): 7.513 7.513 7.513 90.00 90.00 90.00
Space group Fm-3m (No. 225)
One atom of each set of equivalent atoms:
1 Ac 0.000 0.000 0.000 (multiplicity 4)
2 Ce 0.000 0.000 0.500 (multiplicity 4)
3 Se 0.250 0.250 0.250 (multiplicity 8)



(4)
Below is a relaxed AcCeSe2 crystal, with properties calculated at the PBE level.

Results
Theoretical density in g/cm³: 7.5

Lattice parameters (Å, degrees): 4.2714 4.2714 14.7507 90.00 90.00 120.00
Space group P6_3/mmc (No. 194)
One atom of each set of equivalent atoms:
1 Ac 0.3333 0.6667 0.2500 (multiplicity 2)
2 Ce 0.0000 0.0000 0.0000 (multiplicity 2)
3 Se 0.3333 0.6667 0.6157 (multiplicity 4)



Most stable structure: (1)



(1)
Below is a relaxed Ac2CeSe3 crystal, with properties calculated at the PBE level.

Results
Theoretical density in g/cm³: 7.7

Lattice parameters (Å, degrees): 4.372 6.219 13.191 90.00 90.00 90.00
Space group Immm (No. 71)
One atom of each set of equivalent atoms:
1 Ac 0.000 0.000 0.169 (multiplicity 4)
2 Ce 0.000 0.000 0.500 (multiplicity 2)
3 Se 0.000 0.500 0.158 (multiplicity 4)
4 Se 0.000 0.500 0.500 (multiplicity 2)



(2)
Below is a relaxed Ac2CeSe3 crystal, with properties calculated at the PBE level.

Results
Theoretical density in g/cm³: 7.7

Lattice parameters (Å, degrees): 4.397 4.397 18.615 90.00 90.00 90.00
Space group I4/mmm (No. 139)
One atom of each set of equivalent atoms:
1 Ac 0.000 0.000 0.166 (multiplicity 4)
2 Ce 0.000 0.000 0.500 (multiplicity 2)
3 Se 0.000 0.000 0.000 (multiplicity 2)
4 Se 0.000 0.000 0.337 (multiplicity 4)



Most stable structure: (1)



(1)
Below is a relaxed Ac3CeSe6 crystal, with properties calculated at the PBE level.

Results
Theoretical density in g/cm³: 6.1

Lattice parameters (Å, degrees): 13.694 7.935 7.743 90.00 122.96 90.00
Space group C2/m (No. 12)
One atom of each set of equivalent atoms:
1 Ac 0.000 0.000 0.000 (multiplicity 2)
2 Ac 0.249 0.000 0.702 (multiplicity 4)
3 Ce 0.000 0.500 0.500 (multiplicity 2)
4 Se 0.090 0.252 0.346 (multiplicity 8)
5 Se 0.242 0.500 0.893 (multiplicity 4)



(2)
Below is a relaxed Ac3CeSe6 crystal, with properties calculated at the PBE level.

Results
Theoretical density in g/cm³: 6.2

Lattice parameters (Å, degrees): 13.5828 13.5828 12.9321 90.00 90.00 120.00
Space group R-3 (No. 148, hexagonal axes)
One atom of each set of equivalent atoms:
1 Ac 0.0537 0.6129 0.3292 (multiplicity 18)
2 Ce 0.0000 0.0000 0.0000 (multiplicity 3)
3 Ce 0.0000 0.0000 0.5000 (multiplicity 3)
4 Se 0.0341 0.8273 0.3942 (multiplicity 18)
5 Se 0.0480 0.8391 0.8903 (multiplicity 18)



Most stable structure: (2)



(1)
Below is a relaxed AcCe2Si crystal, with properties calculated at the PBE level.

Results
Theoretical density in g/cm³: 7.2

Lattice parameters (Å, degrees): 4.7370 4.7370 18.9998 90.00 90.00 120.00
Space group R-3m (No. 166, hexagonal axes)
One atom of each set of equivalent atoms:
1 Ac 0.0000 0.0000 0.0000 (multiplicity 3)
2 Ce 0.0000 0.0000 0.2218 (multiplicity 6)
3 Si 0.0000 0.0000 0.5000 (multiplicity 3)



(2)
Below is a relaxed AcCe2Si crystal, with properties calculated at the PBE level.

Results
Theoretical density in g/cm³: 7.6

Lattice parameters (Å, degrees): 3.852 3.852 7.867 90.00 90.00 90.00
Space group P4/mmm (No. 123)
One atom of each set of equivalent atoms:
1 Ac 0.000 0.000 0.000 (multiplicity 1)
2 Ce 0.500 0.500 0.326 (multiplicity 2)
3 Si 0.000 0.000 0.500 (multiplicity 1)



Most stable structure: (2)



(1)
Below is a relaxed AcCe2Si crystal, with properties calculated at the PBE level.

Results
Theoretical density in g/cm³: 6.8

Lattice parameters (Å, degrees): 3.9739 3.9739 28.5581 90.00 90.00 120.00
Space group R3m (No. 160, hexagonal axes)
One atom of each set of equivalent atoms:
1 Ac 0.0000 0.0000 0.0000 (multiplicity 3)
2 Ce 0.0000 0.0000 0.5592 (multiplicity 3)
3 Ce 0.0000 0.0000 0.7706 (multiplicity 3)
4 Si 0.0000 0.0000 0.1646 (multiplicity 3)



(2)
Below is a relaxed AcCe2Si crystal, with properties calculated at the PBE level.

Results
Theoretical density in g/cm³: 8.1

Lattice parameters (Å, degrees): 4.732 4.732 4.885 90.00 90.00 90.00
Space group P4/mmm (No. 123)
One atom of each set of equivalent atoms:
1 Ac 0.000 0.000 0.000 (multiplicity 1)
2 Ce 0.000 0.500 0.500 (multiplicity 2)
3 Si 0.500 0.500 0.000 (multiplicity 1)



Most stable structure: (2)



(1)
Below is a relaxed AcCeSi4 crystal, with properties calculated at the PBE level.

Results
Theoretical density in g/cm³: 5.9

Lattice parameters (Å, degrees): 7.676 16.080 4.389 90.00 90.00 90.00
Space group Pbam (No. 55)
One atom of each set of equivalent atoms:
1 Ac 0.129 0.160 0.000 (multiplicity 4)
2 Ce 0.132 0.413 0.000 (multiplicity 4)
3 Si 0.028 0.690 0.500 (multiplicity 4)
4 Si 0.113 0.948 0.500 (multiplicity 4)
5 Si 0.134 0.544 0.500 (multiplicity 4)
6 Si 0.215 0.804 0.500 (multiplicity 4)



(2)
Below is a relaxed AcCeSi4 crystal, with properties calculated at the PBE level.

Results
Theoretical density in g/cm³: 6.7

Lattice parameters (Å, degrees): 7.811 7.811 7.811 90.00 90.00 90.00
Space group F-43m (No. 216)
One atom of each set of equivalent atoms:
1 Ac 0.000 0.000 0.000 (multiplicity 4)
2 Ce 0.250 0.250 0.750 (multiplicity 4)
3 Si 0.121 0.121 0.379 (multiplicity 16)



Most stable structure: (1)



(1)
Below is a relaxed AcCeSi crystal, with properties calculated at the PBE level.

Results
Theoretical density in g/cm³: 7.4

Lattice parameters (Å, degrees): 4.7857 4.7857 4.4697 90.00 90.00 120.00
Space group P3m1 (No. 156)
One atom of each set of equivalent atoms:
1 Ac 0.0000 0.0000 0.0000 (multiplicity 1)
2 Ce 0.3333 0.6667 0.5608 (multiplicity 1)
3 Si 0.6667 0.3333 0.3679 (multiplicity 1)



(2)
Below is a relaxed AcCeSi crystal, with properties calculated at the PBE level.

Results
Theoretical density in g/cm³: 6.9

Lattice parameters (Å, degrees): 7.257 7.257 7.257 90.00 90.00 90.00
Space group F-43m (No. 216)
One atom of each set of equivalent atoms:
1 Ac 0.000 0.000 0.000 (multiplicity 4)
2 Ce 0.000 0.000 0.500 (multiplicity 4)
3 Si 0.250 0.250 0.750 (multiplicity 4)



Most stable structure: (2)